No. 1
InSeBr2: relaxed, PBE.

## Properties
Uncorrected formation energy = -154 meV/atom
Relative energy among the computed polymorphs = 16.8 kJ/mol of atoms

a = 4.0748 Å, b = 7.8541 Å, c = 8.6032 Å
α = 90.00°, β = 90.00°, γ = 90.00°
Fractional positions:
In  0.0000  0.0000  0.0000
In  0.5000  0.5000  0.0000
Se  0.0000  0.5000  0.8019
Se  0.5000  0.0000  0.8019
Br  0.0000  0.0000  0.5785
Br  0.0000  0.5000  0.2271
Br  0.5000  0.0000  0.2271
Br  0.5000  0.5000  0.5785

No. 2
InSeBr2: relaxed, PBE.

## Properties
Uncorrected formation energy = 121 meV/atom
Relative energy among the computed polymorphs = 43.3 kJ/mol of atoms

a = 7.3674 Å, b = 7.3674 Å, c = 7.3674 Å
α = 90.00°, β = 90.00°, γ = 90.00°
Fractional positions:
In  0.0000  0.0000  0.0000
In  0.0000  0.5000  0.5000
In  0.5000  0.0000  0.5000
In  0.5000  0.5000  0.0000
Se  0.2500  0.2500  0.2500
Se  0.2500  0.7500  0.7500
Se  0.7500  0.2500  0.7500
Se  0.7500  0.7500  0.2500
Br  0.0000  0.0000  0.5000
Br  0.0000  0.5000  0.0000
Br  0.2500  0.2500  0.7500
Br  0.2500  0.7500  0.2500
Br  0.5000  0.0000  0.0000
Br  0.5000  0.5000  0.5000
Br  0.7500  0.2500  0.2500
Br  0.7500  0.7500  0.7500

No. 3
InSeBr3: relaxed, PBE.

## Properties
Uncorrected formation energy = -479 meV/atom
Relative energy among the computed polymorphs = 8.4 kJ/mol of atoms

a = 6.3505 Å, b = 6.9841 Å, c = 10.5593 Å
α = 77.77°, β = 81.50°, γ = 75.51°
Fractional positions:
In  0.0000  0.0000  0.0000
In  0.4359  0.5610  0.8881
Se  0.2660  0.2788  0.5042
Se  0.6271  0.2367  0.4610
Br  0.0875  0.6058  0.3976
Br  0.1902  0.3588  0.0444
Br  0.1902  0.8192  0.7300
Br  0.5414  0.7762  0.0253
Br  0.7532  0.0821  0.2630
Br  0.7540  0.3368  0.7743

Number 2 is which compound? InSeBr2

What is the formula in the first record? InSeBr2